Entry 1:
Below is BaNa2AgSn after structural relaxation, with properties calculated at the PBE-GGA level.

It has space group P4/mmm (No. 123), with a = 5.574 Å, b = 5.574 Å, c = 5.381 Å, α = 90.00°, β = 90.00° and γ = 90.00°. Symmetry generates all atoms from Ba at (0.000, 0.000, 0.000), Na at (0.000, 0.500, 0.500), Ag at (0.500, 0.500, 0.500) and Sn at (0.500, 0.500, 0.000).

The raw total energy comes out at -0.0883 hartree per atom. As for the density: 4.1 g/cm³.


Entry 2:
Below is BaNaAg2Sn after structural relaxation, with properties calculated at the PBE-GGA level.

It has space group P4/mmm (No. 123), with a = 6.159 Å, b = 6.159 Å, c = 6.446 Å, α = 90.00°, β = 90.00° and γ = 90.00°. Symmetry generates all atoms from Ba at (0.000, 0.000, 0.000), Na at (0.500, 0.500, 0.500), Ag at (0.000, 0.500, 0.000) and Sn at (0.000, 0.000, 0.500).

The raw total energy comes out at -0.0707 hartree per atom. As for the density: 3.4 g/cm³.


Entry 3:
Below is Ba2NaTlAg after structural relaxation, with properties calculated at the PBE-GGA level.

It has space group P4/mmm (No. 123), with a = 6.443 Å, b = 6.443 Å, c = 5.379 Å, α = 90.00°, β = 90.00° and γ = 90.00°. Symmetry generates all atoms from Ba at (0.000, 0.500, 0.000), Na at (0.000, 0.000, 0.500), Tl at (0.500, 0.500, 0.500) and Ag at (0.000, 0.000, 0.000).

The raw total energy comes out at -0.0778 hartree per atom. As for the density: 4.5 g/cm³.


Entry 4:
Below is Ba4NaTlAg2 after structural relaxation, with properties calculated at the PBE-GGA level.

It has space group R-3m (No. 166, hexagonal axes), with a = 6.0520 Å, b = 6.0520 Å, c = 29.5512 Å, α = 90.00°, β = 90.00° and γ = 120.00°. Symmetry generates all atoms from Ba at (0.0000, 0.0000, 0.1194), Ba at (0.0000, 0.0000, 0.3688), Na at (0.0000, 0.0000, 0.5000), Tl at (0.0000, 0.0000, 0.0000) and Ag at (0.0000, 0.0000, 0.2443).

The raw total energy comes out at -0.0861 hartree per atom. As for the density: 5.3 g/cm³.


Entry 5:
Below is Ba3Na2Tl4Ag2 after structural relaxation, with properties calculated at the PBE-GGA level.

It has space group P-3m1 (No. 164), with a = 5.4465 Å, b = 5.4465 Å, c = 14.7816 Å, α = 90.00°, β = 90.00° and γ = 120.00°. Symmetry generates all atoms from Ba at (0.0000, 0.0000, 0.0000), Ba at (0.0000, 0.0000, 0.2606), Na at (0.3333, 0.6667, 0.5698), Tl at (0.3333, 0.6667, 0.3532), Tl at (0.3333, 0.6667, 0.8601) and Ag at (0.3333, 0.6667, 0.1413).

The raw total energy comes out at -0.0848 hartree per atom. As for the density: 6.5 g/cm³.


Entry 6:
Below is BaNaTl2Ag after structural relaxation, with properties calculated at the PBE-GGA level.

It has space group P4/mmm (No. 123), with a = 5.591 Å, b = 5.591 Å, c = 5.476 Å, α = 90.00°, β = 90.00° and γ = 90.00°. Symmetry generates all atoms from Ba at (0.000, 0.000, 0.000), Na at (0.500, 0.500, 0.000), Tl at (0.000, 0.500, 0.500) and Ag at (0.500, 0.500, 0.500).

The raw total energy comes out at -0.0816 hartree per atom. As for the density: 6.6 g/cm³.


Entry 7:
Below is BaNaTlAg after structural relaxation, with properties calculated at the PBE-GGA level.

It has space group F-43m (No. 216), with a = 8.015 Å, b = 8.015 Å, c = 8.015 Å, α = 90.00°, β = 90.00° and γ = 90.00°. Symmetry generates all atoms from Ba at (0.000, 0.000, 0.000), Na at (0.000, 0.000, 0.500), Tl at (0.250, 0.250, 0.750) and Ag at (0.250, 0.250, 0.250).

The raw total energy comes out at -0.0826 hartree per atom. As for the density: 6.1 g/cm³.


Entry 8:
Below is Ba2NaTlAg after structural relaxation, with properties calculated at the PBE-GGA level.

It has space group P4/mmm (No. 123), with a = 6.515 Å, b = 6.515 Å, c = 5.392 Å, α = 90.00°, β = 90.00° and γ = 90.00°. Symmetry generates all atoms from Ba at (0.000, 0.500, 0.000), Na at (0.000, 0.000, 0.500), Tl at (0.500, 0.500, 0.500) and Ag at (0.500, 0.500, 0.000).

The raw total energy comes out at -0.0780 hartree per atom. As for the density: 4.4 g/cm³.


Entry 9:
Below is Ba4NaTl2Ag after structural relaxation, with properties calculated at the PBE-GGA level.

It has space group R-3m (No. 166, hexagonal axes), with a = 6.0737 Å, b = 6.0737 Å, c = 29.8816 Å, α = 90.00°, β = 90.00° and γ = 120.00°. Symmetry generates all atoms from Ba at (0.0000, 0.0000, 0.1172), Ba at (0.0000, 0.0000, 0.3685), Na at (0.0000, 0.0000, 0.5000), Tl at (0.0000, 0.0000, 0.2429) and Ag at (0.0000, 0.0000, 0.0000).

The raw total energy comes out at -0.0861 hartree per atom. As for the density: 5.7 g/cm³.


Entry 10:
Below is Ba2NaTl3Ag4 after structural relaxation, with properties calculated at the PBE-GGA level.

It has space group P-4m2 (No. 115), with a = 4.775 Å, b = 4.775 Å, c = 12.802 Å, α = 90.00°, β = 90.00° and γ = 90.00°. Symmetry generates all atoms from Ba at (0.000, 0.500, 0.237), Na at (0.000, 0.000, 0.500), Tl at (0.000, 0.500, 0.871), Tl at (0.500, 0.500, 0.500), Ag at (0.000, 0.000, 0.000), Ag at (0.000, 0.500, 0.643) and Ag at (0.500, 0.500, 0.000).

The raw total energy comes out at -0.0938 hartree per atom. As for the density: 7.6 g/cm³.


Entry 11:
Below is BaNa2TlAg after structural relaxation, with properties calculated at the PBE-GGA level.

It has space group P4/mmm (No. 123), with a = 5.617 Å, b = 5.617 Å, c = 5.545 Å, α = 90.00°, β = 90.00° and γ = 90.00°. Symmetry generates all atoms from Ba at (0.000, 0.000, 0.000), Na at (0.000, 0.500, 0.500), Tl at (0.500, 0.500, 0.000) and Ag at (0.500, 0.500, 0.500).

The raw total energy comes out at -0.0724 hartree per atom. As for the density: 4.7 g/cm³.


Entry 12:
Below is Ba2NaZn3Ag4 after structural relaxation, with properties calculated at the PBE-GGA level.

It has space group P-4m2 (No. 115), with a = 4.810 Å, b = 4.810 Å, c = 10.958 Å, α = 90.00°, β = 90.00° and γ = 90.00°. Symmetry generates all atoms from Ba at (0.000, 0.500, 0.237), Na at (0.000, 0.000, 0.500), Zn at (0.000, 0.500, 0.886), Zn at (0.500, 0.500, 0.500), Ag at (0.000, 0.000, 0.000), Ag at (0.000, 0.500, 0.643) and Ag at (0.500, 0.500, 0.000).

The raw total energy comes out at -0.0812 hartree per atom. As for the density: 6.1 g/cm³.


Entry 13:
Below is BaNaZn2Ag after structural relaxation, with properties calculated at the PBE-GGA level.

It has space group P4/mmm (No. 123), with a = 5.117 Å, b = 5.117 Å, c = 5.410 Å, α = 90.00°, β = 90.00° and γ = 90.00°. Symmetry generates all atoms from Ba at (0.000, 0.000, 0.000), Na at (0.500, 0.500, 0.000), Zn at (0.000, 0.500, 0.500) and Ag at (0.500, 0.500, 0.500).

The raw total energy comes out at -0.0634 hartree per atom. As for the density: 4.7 g/cm³.


Entry 14:
Below is BaNbAg after structural relaxation, with properties calculated at the PBE-GGA level.

It has space group P1 (No. 1), with a = 4.733 Å, b = 6.070 Å, c = 6.717 Å, α = 63.55°, β = 90.00° and γ = 89.97°. Symmetry generates all atoms from Ba at (0.000, 0.000, 0.000), Ba at (0.500, 0.481, 0.991), Nb at (0.000, 0.417, 0.461), Nb at (0.501, 0.585, 0.461), Ag at (0.001, 0.834, 0.558) and Ag at (0.500, 0.077, 0.549).

The raw total energy comes out at -0.1651 hartree per atom. As for the density: 6.5 g/cm³.


Entry 15:
Below is BaNbAg after structural relaxation, with properties calculated at the PBE-GGA level.

It has space group P2_1/m (No. 11), with a = 3.525 Å, b = 4.578 Å, c = 10.476 Å, α = 90.00°, β = 99.62° and γ = 90.00°. Symmetry generates all atoms from Ba at (0.076, 0.250, 0.149), Nb at (0.250, 0.750, 0.500) and Ag at (0.356, 0.250, 0.713).

The raw total energy comes out at -0.1689 hartree per atom. As for the density: 6.7 g/cm³.


Entry 16:
Below is BaNbAg after structural relaxation, with properties calculated at the PBE-GGA level.

It has space group P6_3/mmc (No. 194), with a = 5.4758 Å, b = 5.4758 Å, c = 6.6305 Å, α = 90.00°, β = 90.00° and γ = 120.00°. Symmetry generates all atoms from Ba at (0.3333, 0.6667, 0.2500), Nb at (0.3333, 0.6667, 0.7500) and Ag at (0.0000, 0.0000, 0.0000).

The raw total energy comes out at -0.1379 hartree per atom. As for the density: 6.5 g/cm³.


Entry 17:
Below is BaNbAg after structural relaxation, with properties calculated at the PBE-GGA level.

It has space group F-43m (No. 216), with a = 7.011 Å, b = 7.011 Å, c = 7.011 Å, α = 90.00°, β = 90.00° and γ = 90.00°. Symmetry generates all atoms from Ba at (0.000, 0.000, 0.000), Nb at (0.250, 0.250, 0.750) and Ag at (0.000, 0.000, 0.500).

The raw total energy comes out at -0.1359 hartree per atom. As for the density: 6.5 g/cm³.


Entry 18:
Below is Ba2NbAg after structural relaxation, with properties calculated at the PBE-GGA level.

It has space group I-42d (No. 122), with a = 9.100 Å, b = 9.100 Å, c = 6.916 Å, α = 90.00°, β = 90.00° and γ = 90.00°. Symmetry generates all atoms from Ba at (0.233, 0.750, 0.125), Nb at (0.000, 0.000, 0.500) and Ag at (0.000, 0.000, 0.000).

The raw total energy comes out at -0.1228 hartree per atom. As for the density: 5.5 g/cm³.


Entry 19:
Below is BaNb2Ag after structural relaxation, with properties calculated at the PBE-GGA level.

It has space group Fm-3m (No. 225), with a = 6.994 Å, b = 6.994 Å, c = 6.994 Å, α = 90.00°, β = 90.00° and γ = 90.00°. Symmetry generates all atoms from Ba at (0.000, 0.000, 0.000), Nb at (0.250, 0.250, 0.250) and Ag at (0.000, 0.000, 0.500).

The raw total energy comes out at -0.1872 hartree per atom. As for the density: 8.4 g/cm³.


Entry 20:
Below is BaNb3Ag after structural relaxation, with properties calculated at the PBE-GGA level.

It has space group Pm-3m (No. 221), with a = 5.174 Å, b = 5.174 Å, c = 5.174 Å, α = 90.00°, β = 90.00° and γ = 90.00°. Symmetry generates all atoms from Ba at (0.000, 0.000, 0.000), Nb at (0.000, 0.500, 0.500) and Ag at (0.500, 0.500, 0.500).

The raw total energy comes out at -0.1969 hartree per atom. As for the density: 6.3 g/cm³.


Entry 21:
Below is Ba2NbAg after structural relaxation, with properties calculated at the PBE-GGA level.

It has space group Fm-3m (No. 225), with a = 8.309 Å, b = 8.309 Å, c = 8.309 Å, α = 90.00°, β = 90.00° and γ = 90.00°. Symmetry generates all atoms from Ba at (0.250, 0.250, 0.250), Nb at (0.000, 0.000, 0.000) and Ag at (0.000, 0.000, 0.500).

The raw total energy comes out at -0.1292 hartree per atom. As for the density: 5.5 g/cm³.


Entry 22:
Below is BaNbAg after structural relaxation, with properties calculated at the PBE-GGA level.

It has space group P4/nmm (No. 129, origin choice 2), with a = 4.247 Å, b = 4.247 Å, c = 8.873 Å, α = 90.00°, β = 90.00° and γ = 90.00°. Symmetry generates all atoms from Ba at (0.250, 0.750, 0.000), Nb at (0.250, 0.250, 0.422) and Ag at (0.250, 0.250, 0.714).

The raw total energy comes out at -0.1405 hartree per atom. As for the density: 7.0 g/cm³.


Entry 23:
Below is BaNbAg after structural relaxation, with properties calculated at the PBE-GGA level.

It has space group Amm2 (No. 38), with a = 3.919 Å, b = 3.621 Å, c = 24.195 Å, α = 90.00°, β = 90.00° and γ = 90.00°. Symmetry generates all atoms from Ba at (0.000, 0.000, 0.000), Ba at (0.000, 0.000, 0.190), Nb at (0.000, 0.000, 0.334), Nb at (0.500, 0.000, 0.802), Ag at (0.500, 0.000, 0.415) and Ag at (0.500, 0.000, 0.595).

The raw total energy comes out at -0.1704 hartree per atom. As for the density: 6.5 g/cm³.


Entry 24:
Below is BaNbAg2 after structural relaxation, with properties calculated at the PBE-GGA level.

It has space group I-42d (No. 122), with a = 8.277 Å, b = 8.277 Å, c = 6.708 Å, α = 90.00°, β = 90.00° and γ = 90.00°. Symmetry generates all atoms from Ba at (0.000, 0.000, 0.000), Nb at (0.000, 0.000, 0.500) and Ag at (0.195, 0.750, 0.625).

The raw total energy comes out at -0.1365 hartree per atom. As for the density: 6.4 g/cm³.


Entry 25:
Below is BaNbAg after structural relaxation, with properties calculated at the PBE-GGA level.

It has space group Cmcm (No. 63), with a = 5.072 Å, b = 12.808 Å, c = 5.229 Å, α = 90.00°, β = 90.00° and γ = 90.00°. Symmetry generates all atoms from Ba at (0.000, 0.211, 0.250), Nb at (0.000, 0.500, 0.000) and Ag at (0.000, 0.055, 0.750).

The raw total energy comes out at -0.1687 hartree per atom. As for the density: 6.6 g/cm³.


Entry 26:
Below is BaNbAg after structural relaxation, with properties calculated at the PBE-GGA level.

It has space group P6_3/mmc (No. 194), with a = 4.7402 Å, b = 4.7402 Å, c = 9.9536 Å, α = 90.00°, β = 90.00° and γ = 120.00°. Symmetry generates all atoms from Ba at (0.0000, 0.0000, 0.0000), Nb at (0.3333, 0.6667, 0.2500) and Ag at (0.3333, 0.6667, 0.7500).

The raw total energy comes out at -0.1511 hartree per atom. As for the density: 5.8 g/cm³.


Entry 27:
Below is BaNb2Ag after structural relaxation, with properties calculated at the PBE-GGA level.

It has space group I-42d (No. 122), with a = 4.485 Å, b = 4.485 Å, c = 22.161 Å, α = 90.00°, β = 90.00° and γ = 90.00°. Symmetry generates all atoms from Ba at (0.000, 0.000, 0.000), Nb at (0.114, 0.250, 0.625) and Ag at (0.000, 0.000, 0.500).

The raw total energy comes out at -0.1943 hartree per atom. As for the density: 6.4 g/cm³.